{"formula": "Ho9TmTh2", "functional": "PBE-GGA", "state": "relaxed", "lattice": [[4.9989, 0.0000, 0.0000], [0.0000, 4.9989, 0.0000], [0.0000, 0.0000, 14.9411]], "species": ["Ho", "Ho", "Ho", "Ho", "Ho", "Ho", "Ho", "Ho", "Ho", "Tm", "Th", "Th"], "fractional_positions": [[0.5000, 0.5000, 0.0000], [0.5000, 0.5000, 0.3324], [0.5000, 0.5000, 0.6676], [0.5000, 0.0000, 0.1673], [0.5000, 0.0000, 0.5000], [0.5000, 0.0000, 0.8327], [0.0000, 0.5000, 0.1673], [0.0000, 0.5000, 0.5000], [0.0000, 0.5000, 0.8327], [0.0000, 0.0000, 0.0000], [0.0000, 0.0000, 0.3342], [0.0000, 0.0000, 0.6658]], "formation_energy_mev_per_atom": 35, "m_tot_mub_per_cell": 0.00}